Computed, not measured: a relaxed structure of CaRhBr3 at the GGA-PBEsol level of DFT.

Its density of states at the Fermi level is 8.29 states/eV/f.u. As for the energy: -3.3642 eV per atom.

The structure belongs to space group Pm-3m (No. 221); the cell edges are 5.449, 5.449 and 5.449 Å and the angles 90.00°, 90.00° and 90.00°. The asymmetric unit holds Ca at (0.000, 0.000, 0.000), Rh at (0.500, 0.500, 0.500) and Br at (0.000, 0.000, 0.500).